Material: TbHoEr2S6
Method: DFT, PBE
State: relaxed

```
data_TbHoEr2S6
_chemical_formula_sum 'Tb3 Ho3 Er6 S18'
_cell_length_a 6.8778
_cell_length_b 6.8778
_cell_length_c 18.4436
_cell_angle_alpha 90.00
_cell_angle_beta 90.00
_cell_angle_gamma 120.00
_symmetry_space_group_name_H-M 'R 3'
_symmetry_Int_Tables_number 146
_symmetry_space_group_name_Hall 'R 3'
loop_
_atom_site_label
_atom_site_type_symbol
_atom_site_fract_x
_atom_site_fract_y
_atom_site_fract_z
Tb1 Tb 0.0000 0.0000 0.0000
Ho1 Ho 0.0000 0.0000 0.4989
Er1 Er 0.0000 0.0000 0.2986
Er2 Er 0.0000 0.0000 0.7992
S1 S 0.0033 0.6994 0.8978
S2 S 0.0068 0.3033 0.3982
```

Properties
Uncorrected energy = -191.17 eV/cell
Fermi-level density of states = 0.000 states/eV per cell
ρ = 5.6 g/cm³
Uncorrected formation energy = -2062 meV/atom